[1]
The following is a DFT calculation (PBE-GGA) of a geometry-optimized Nd7Ho2Tm2 structure.

## Properties
theoretical density = 7.46 g/cm³
calculated total energy = -49.95 eV/cell
SG = No. 12
spin magnetization = 0.00 μB/cell
density of states at the Fermi level = 15.54 states/eV per cell
energy of formation from the pure elements = 0.14 eV per atom

Lattice parameters (Å, degrees): 8.116 8.116 6.119 105.32 105.32 90.42
Sites, in units of the cell vectors:
Nd1 0.000 0.000 0.000
Nd2 0.051 0.586 0.819
Nd3 0.414 0.949 0.181
Nd4 0.424 0.424 0.201
Nd5 0.576 0.576 0.799
Nd6 0.586 0.051 0.819
Nd7 0.949 0.414 0.181
Ho1 0.227 0.227 0.588
Ho2 0.773 0.773 0.412
Tm1 0.215 0.785 0.500
Tm2 0.785 0.215 0.500


[2]
The following is a DFT calculation (PBE-GGA) of a geometry-optimized Nd2HoTm12 structure.

## Properties
theoretical density = 8.79 g/cm³
calculated total energy = -132.36 eV/cell
SG = No. 12
spin magnetization = 0.00 μB/cell
density of states at the Fermi level = 51.07 states/eV per cell
energy of formation from the pure elements = 0.11 eV per atom

Lattice parameters (Å, degrees): 6.583 6.583 23.879 92.26 92.26 114.80
Sites, in units of the cell vectors:
Nd1 0.069 0.069 0.279
Nd2 0.429 0.429 0.720
Nd3 0.571 0.571 0.280
Nd4 0.931 0.931 0.721
Ho1 0.250 0.250 0.000
Ho2 0.750 0.750 0.000
Tm1 0.033 0.033 0.133
Tm2 0.047 0.547 0.191
Tm3 0.083 0.582 0.330
Tm4 0.140 0.637 0.555
Tm5 0.141 0.141 0.571
Tm6 0.234 0.732 0.934
Tm7 0.268 0.766 0.066
Tm8 0.356 0.356 0.430
Tm9 0.363 0.860 0.445
Tm10 0.418 0.917 0.670
Tm11 0.453 0.953 0.809
Tm12 0.467 0.467 0.865
Tm13 0.533 0.533 0.135
Tm14 0.547 0.047 0.191
Tm15 0.582 0.083 0.330
Tm16 0.637 0.140 0.555
Tm17 0.644 0.644 0.570
Tm18 0.732 0.234 0.934
Tm19 0.766 0.268 0.066
Tm20 0.859 0.859 0.429
Tm21 0.860 0.363 0.445
Tm22 0.917 0.418 0.670
Tm23 0.953 0.453 0.809
Tm24 0.967 0.967 0.867


[3]
The following is a DFT calculation (PBE-GGA) of a geometry-optimized Nd6Ho12Tm structure.

## Properties
theoretical density = 8.03 g/cm³
calculated total energy = -85.62 eV/cell
SG = No. 166
spin magnetization = 0.00 μB/cell
density of states at the Fermi level = 28.90 states/eV per cell
energy of formation from the pure elements = 0.13 eV per atom

Lattice parameters (Å, degrees): 8.671 8.671 8.671 79.52 79.52 79.52
Sites, in units of the cell vectors:
Nd1 0.267 0.267 0.663
Nd2 0.267 0.663 0.267
Nd3 0.337 0.733 0.733
Nd4 0.663 0.267 0.267
Nd5 0.733 0.337 0.733
Nd6 0.733 0.733 0.337
Ho1 0.013 0.013 0.695
Ho2 0.013 0.363 0.363
Ho3 0.013 0.695 0.013
Ho4 0.305 0.987 0.987
Ho5 0.363 0.013 0.363
Ho6 0.363 0.363 0.013
Ho7 0.637 0.637 0.987
Ho8 0.637 0.987 0.637
Ho9 0.695 0.013 0.013
Ho10 0.987 0.305 0.987
Ho11 0.987 0.637 0.637
Ho12 0.987 0.987 0.305
Tm1 0.500 0.500 0.500


[4]
The following is a DFT calculation (PBE-GGA) of a geometry-optimized Nd6HoTm3 structure.

## Properties
theoretical density = 7.60 g/cm³
calculated total energy = -90.63 eV/cell
SG = No. 36
spin magnetization = 0.00 μB/cell
density of states at the Fermi level = 31.33 states/eV per cell
energy of formation from the pure elements = 0.13 eV per atom

Lattice parameters (Å, degrees): 11.750 11.750 6.421 90.00 90.00 130.70
Sites, in units of the cell vectors:
Nd1 0.016 0.984 0.500
Nd2 0.106 0.545 0.989
Nd3 0.260 0.380 0.739
Nd4 0.301 0.699 0.513
Nd5 0.380 0.260 0.239
Nd6 0.455 0.894 0.989
Nd7 0.545 0.106 0.489
Nd8 0.620 0.740 0.739
Nd9 0.699 0.301 0.013
Nd10 0.740 0.620 0.239
Nd11 0.894 0.455 0.489
Nd12 0.984 0.016 0.000
Ho1 0.157 0.843 0.295
Ho2 0.843 0.157 0.795
Tm1 0.043 0.293 0.319
Tm2 0.293 0.043 0.819
Tm3 0.420 0.580 0.219
Tm4 0.580 0.420 0.719
Tm5 0.707 0.957 0.319
Tm6 0.957 0.707 0.819


[5]
The following is a DFT calculation (PBE-GGA) of a geometry-optimized Nd3HoTm structure.

## Properties
theoretical density = 7.44 g/cm³
calculated total energy = -89.98 eV/cell
SG = No. 15
spin magnetization = 0.00 μB/cell
density of states at the Fermi level = 29.15 states/eV per cell
energy of formation from the pure elements = 0.17 eV per atom

Lattice parameters (Å, degrees): 10.658 10.658 6.854 104.25 104.25 105.78
Sites, in units of the cell vectors:
Nd1 0.015 0.353 0.586
Nd2 0.038 0.744 0.958
Nd3 0.256 0.962 0.542
Nd4 0.313 0.348 0.413
Nd5 0.348 0.313 0.913
Nd6 0.353 0.015 0.086
Nd7 0.647 0.985 0.914
Nd8 0.652 0.687 0.087
Nd9 0.687 0.652 0.587
Nd10 0.744 0.038 0.458
Nd11 0.962 0.256 0.042
Nd12 0.985 0.647 0.414
Ho1 0.011 0.989 0.750
Ho2 0.321 0.679 0.750
Ho3 0.679 0.321 0.250
Ho4 0.989 0.011 0.250
Tm1 0.191 0.546 0.121
Tm2 0.454 0.809 0.379
Tm3 0.546 0.191 0.621
Tm4 0.809 0.454 0.879


[6]
The following is a DFT calculation (PBE-GGA) of a geometry-optimized Nd2Ho2Tm7 structure.

## Properties
theoretical density = 8.51 g/cm³
calculated total energy = -48.28 eV/cell
SG = No. 12
spin magnetization = 0.00 μB/cell
density of states at the Fermi level = 17.55 states/eV per cell
energy of formation from the pure elements = 0.16 eV per atom

Lattice parameters (Å, degrees): 7.988 7.988 6.032 106.48 106.48 91.55
Sites, in units of the cell vectors:
Nd1 0.095 0.095 0.307
Nd2 0.905 0.905 0.693
Ho1 0.288 0.712 0.000
Ho2 0.712 0.288 0.000
Tm1 0.089 0.564 0.321
Tm2 0.271 0.271 0.923
Tm3 0.436 0.911 0.679
Tm4 0.500 0.500 0.500
Tm5 0.564 0.089 0.321
Tm6 0.729 0.729 0.077
Tm7 0.911 0.436 0.679


[7]
The following is a DFT calculation (PBE-GGA) of a geometry-optimized Nd6Ho3Tm structure.

## Properties
theoretical density = 7.30 g/cm³
calculated total energy = -89.28 eV/cell
SG = No. 14
spin magnetization = 0.00 μB/cell
density of states at the Fermi level = 29.79 states/eV per cell
energy of formation from the pure elements = 0.22 eV per atom

Lattice parameters (Å, degrees): 5.485 10.329 12.474 90.00 100.30 90.00
Sites, in units of the cell vectors:
Nd1 0.007 0.186 0.005
Nd2 0.007 0.314 0.505
Nd3 0.102 0.005 0.770
Nd4 0.102 0.495 0.270
Nd5 0.424 0.171 0.356
Nd6 0.424 0.329 0.856
Nd7 0.576 0.671 0.144
Nd8 0.576 0.829 0.644
Nd9 0.898 0.505 0.730
Nd10 0.898 0.995 0.230
Nd11 0.993 0.686 0.495
Nd12 0.993 0.814 0.995
Ho1 0.425 0.667 0.865
Ho2 0.425 0.833 0.365
Ho3 0.500 0.000 0.000
Ho4 0.500 0.500 0.500
Ho5 0.575 0.167 0.635
Ho6 0.575 0.333 0.135
Tm1 0.000 0.000 0.500
Tm2 0.000 0.500 0.000


[8]
The following is a DFT calculation (PBE-GGA) of a geometry-optimized Nd4Ho15Tm structure.

## Properties
theoretical density = 8.43 g/cm³
calculated total energy = -91.78 eV/cell
SG = No. 123
spin magnetization = 0.00 μB/cell
density of states at the Fermi level = 26.75 states/eV per cell
energy of formation from the pure elements = 0.02 eV per atom

Lattice parameters (Å, degrees): 5.030 5.030 25.071 90.00 90.00 90.00
Sites, in units of the cell vectors:
Nd1 0.000 0.000 0.101
Nd2 0.000 0.000 0.301
Nd3 0.000 0.000 0.699
Nd4 0.000 0.000 0.899
Ho1 0.000 0.500 0.000
Ho2 0.000 0.500 0.201
Ho3 0.000 0.500 0.402
Ho4 0.000 0.500 0.598
Ho5 0.000 0.500 0.799
Ho6 0.500 0.000 0.000
Ho7 0.500 0.000 0.201
Ho8 0.500 0.000 0.402
Ho9 0.500 0.000 0.598
Ho10 0.500 0.000 0.799
Ho11 0.500 0.500 0.100
Ho12 0.500 0.500 0.302
Ho13 0.500 0.500 0.500
Ho14 0.500 0.500 0.698
Ho15 0.500 0.500 0.900
Tm1 0.000 0.000 0.500


Which value of calculated total energy does entry 8 give?
-91.78 eV/cell


What is the theoretical density in the sixth record?
8.51 g/cm³